NaLiCaLa PBE-GGA optimized geometry; E_form = 0.18 eV/atom
1.0
8.1247 0.0000 0.0000
0.0000 8.1247 0.0000
0.0000 0.0000 8.1247
Na Li Ca La
4 4 4 4
Direct
0.0000 0.0000 0.0000
0.0000 0.5000 0.5000
0.5000 0.0000 0.5000
0.5000 0.5000 0.0000
0.0000 0.0000 0.5000
0.0000 0.5000 0.0000
0.5000 0.0000 0.0000
0.5000 0.5000 0.5000
0.2500 0.2500 0.7500
0.2500 0.7500 0.2500
0.7500 0.2500 0.2500
0.7500 0.7500 0.7500
0.2500 0.2500 0.2500
0.2500 0.7500 0.7500
0.7500 0.2500 0.7500
0.7500 0.7500 0.2500